Density functional theory data (GGA-PBE) for an optimized crystal structure of Tb2NpBe.

Computed properties:
The density of states at the Fermi level comes out at 1.964 states/eV/atom. For the total DFT energy (no corrections), the calculation gives -5.833 eV per atom. For the formation energy, the calculation gives 2.594 eV/f.u.

Cell: 3.3037 3.3037 11.0660 Å, 81.42 81.42 60.00°
Atoms (fractional coordinates):
Tb 0.1036 0.1036 0.6894
Tb 0.8964 0.8964 0.3106
Be 0.5000 0.5000 0.5000
Np 0.0000 0.0000 0.0000